(1)
Entry from the Alexandria database: crystalline TbAl3B4O12 at its relaxed geometry (PBE).

Computed properties:
- mass density (g/cm³) = 4.26
- calculated volume (A^3/atom) = 9.26
- SG = R32, No. 155
- final energy (eV per atom) = -7.935

Lattice parameters (Å, degrees): 5.9320 5.9320 5.9320 104.27 104.27 104.27
Fractional coordinates of all 20 atoms:
1 O 0.8727 0.4718 0.7210
2 O 0.5916 0.4084 0.0000
3 O 0.0000 0.5916 0.4084
4 O 0.4718 0.7210 0.8727
5 O 0.5282 0.1273 0.2790
6 O 0.8514 0.1486 0.0000
7 O 0.4084 0.0000 0.5916
8 O 0.0000 0.8514 0.1486
9 O 0.1486 0.0000 0.8514
10 O 0.2790 0.5282 0.1273
11 O 0.1273 0.2790 0.5282
12 O 0.7210 0.8727 0.4718
13 B 0.4433 0.5567 0.0000
14 B 0.5567 0.0000 0.4433
15 B 0.0000 0.0000 0.0000
16 B 0.0000 0.4433 0.5567
17 Al 0.9447 0.5000 0.0553
18 Al 0.0553 0.9447 0.5000
19 Al 0.5000 0.0553 0.9447
20 Tb 0.5000 0.5000 0.5000

(2)
Entry from the Alexandria database: crystalline NiIr5 at its relaxed geometry (PBE).

Computed properties:
- DFT formation energy (eV/f.u.) = 0.44
- mass density (g/cm³) = 20.02
- calculated volume (A^3/atom) = 14.10
- SG = Amm2, No. 38

Lattice parameters (Å, degrees): 2.7420 7.1605 4.3902 90.00 90.00 78.96
Fractional coordinates of all 6 atoms:
1 Ir 0.6686 0.6627 0.0000
2 Ir 0.9958 0.0085 0.0000
3 Ir 0.2244 0.5512 0.5000
4 Ir 0.5523 0.8953 0.5000
5 Ir 0.3350 0.3300 0.0000
6 Ni 0.8905 0.2190 0.5000